DFT (PBE) results for a relaxed structure of CdAgMo2.

The formation enthalpy at 0 K is 0.56 eV/atom.

The space group is I-4m2 (No. 119) and the conventional cell measures 4.133, 4.133 and 8.009 Å, with angles of 90.00, 90.00 and 90.00 degrees. The inequivalent atoms are Cd at (0.000, 0.000, 0.000), Ag at (0.000, 0.500, 0.250), Mo at (0.000, 0.000, 0.500) and Mo at (0.000, 0.500, 0.750).

DFT (PBE) results for a relaxed structure of CaTlFe2Cl8.

For the uncorrected formation energy, the calculation gives -1216 meV/atom.

The space group is C2/m (No. 12) and the conventional cell measures 10.813, 7.453 and 9.560 Å, with angles of 90.00, 93.69 and 90.00 degrees. The inequivalent atoms are Ca at (0.000, 0.000, 0.000), Tl at (0.000, 0.000, 0.500), Fe at (0.123, 0.500, 0.779), Cl at (0.002, 0.252, 0.215), Cl at (0.208, 0.500, 0.576) and Cl at (0.245, 0.500, 0.978).

DFT (PBE) results for a relaxed structure of Ba2Sr4As3H2.

The electronic total energy comes out at -82.177 eV per cell.

The space group is I4/mmm (No. 139) and the conventional cell measures 4.991, 4.991 and 25.588 Å, with angles of 90.00, 90.00 and 90.00 degrees. The inequivalent atoms are Ba at (0.000, 0.000, 0.203), Sr at (0.000, 0.500, 0.078), As at (0.000, 0.000, 0.335), As at (0.000, 0.000, 0.500) and H at (0.000, 0.000, 0.093).

Number 1: V 17.10 Å³/atom. Number 2: V 32.03 Å³/atom. Number 3: V 28.97 Å³/atom.